Entry 1:
# AcSmAlCu | Alexandria via LeMat-Bulk | PBE | optimized geometry
# Formation energy from the elements   -145 meV/atom
data_AcSmAlCu
_chemical_formula_sum 'Ac4 Sm4 Al4 Cu4'
_space_group_name_H-M_alt 'F -4 3 m'
_space_group_IT_number 216
_space_group_name_Hall 'F -4 2 3'
_cell_length_a 7.5523
_cell_length_b 7.5523
_cell_length_c 7.5523
_cell_angle_alpha 90.00
_cell_angle_beta 90.00
_cell_angle_gamma 90.00
loop_
_atom_site_label
_atom_site_type_symbol
_atom_site_fract_x
_atom_site_fract_y
_atom_site_fract_z
Ac1 Ac 0.0000 0.0000 0.0000
Sm1 Sm 0.0000 0.0000 0.5000
Al1 Al 0.2500 0.2500 0.2500
Cu1 Cu 0.2500 0.2500 0.7500



Entry 2:
# BaMg2Mo | Alexandria via LeMat-Bulk | PBE | optimized geometry
# Formation energy from the elements   743 meV/atom
data_BaMg2Mo
_chemical_formula_sum 'Ba2 Mg4 Mo2'
_space_group_name_H-M_alt 'I m m 2'
_space_group_IT_number 44
_cell_length_a 3.1714
_cell_length_b 5.6998
_cell_length_c 11.2221
_cell_angle_alpha 90.00
_cell_angle_beta 90.00
_cell_angle_gamma 90.00
loop_
_space_group_symop_operation_xyz
'x,y,z'
'-x,-y,z'
'-x,y,z'
'x,-y,z'
'x+1/2,y+1/2,z+1/2'
'-x+1/2,-y+1/2,z+1/2'
'-x+1/2,y+1/2,z+1/2'
'x+1/2,-y+1/2,z+1/2'
loop_
_atom_site_label
_atom_site_type_symbol
_atom_site_fract_x
_atom_site_fract_y
_atom_site_fract_z
Ba1 Ba 0.0000 0.0000 0.0000
Mg1 Mg 0.0000 0.0000 0.5473
Mg2 Mg 0.0000 0.5000 0.7885
Mo1 Mo 0.0000 0.5000 0.2515



Entry 3:
# Li2MnGe2 | Alexandria via LeMat-Bulk | PBE | optimized geometry
# Formation energy from the elements   -124 meV/atom
data_Li2MnGe2
_chemical_formula_sum 'Li4 Mn2 Ge4'
_space_group_name_H-M_alt 'P 4/m b m'
_space_group_IT_number 127
_space_group_name_Hall '-P 4 2ab'
_cell_length_a 6.4910
_cell_length_b 6.4910
_cell_length_c 4.0035
_cell_angle_alpha 90.00
_cell_angle_beta 90.00
_cell_angle_gamma 90.00
loop_
_atom_site_label
_atom_site_type_symbol
_atom_site_fract_x
_atom_site_fract_y
_atom_site_fract_z
Li1 Li 0.1640 0.3360 0.0000
Mn1 Mn 0.0000 0.0000 0.5000
Ge1 Ge 0.1371 0.6371 0.5000



Entry 4:
An optimized crystal structure of LiSbCl. Source: Alexandria via LeMat-Bulk, functional PBE.

Geometry as CIF:
```
data_LiSbCl
_chemical_formula_sum 'Li4 Sb4 Cl4'
_space_group_name_H-M_alt 'F -4 3 m'
_space_group_IT_number 216
_space_group_name_Hall 'F -4 2 3'
_cell_length_a 7.0384
_cell_length_b 7.0384
_cell_length_c 7.0384
_cell_angle_alpha 90.00
_cell_angle_beta 90.00
_cell_angle_gamma 90.00
loop_
_atom_site_label
_atom_site_type_symbol
_atom_site_fract_x
_atom_site_fract_y
_atom_site_fract_z
Li1 Li 0.0000 0.0000 0.0000
Sb1 Sb 0.0000 0.0000 0.5000
Cl1 Cl 0.2500 0.2500 0.7500
```



Summary of electronic total energy in eV per atom
-4.3113; -3.2426; -4.5699; -2.5414
(order as listed above)